[1]
A plane-wave DFT calculation with PBE was carried out for a relaxed structure of Tm3Te5Os.

It has space group P-62m (No. 189), with a = 8.6308 Å, b = 8.6308 Å, c = 3.7690 Å, α = 90.00°, β = 90.00° and γ = 120.00°. Symmetry generates all atoms from Tm at (0.0000, 0.6497, 0.0000), Te at (0.0000, 0.2275, 0.5000), Te at (0.3333, 0.6667, 0.5000) and Os at (0.0000, 0.0000, 0.0000).

The calculation puts the total magnetization at 0.00 μB/atom. For the distance to the lowest polymorph of the same formula, the calculation gives 0.558 eV/f.u.

=====

[2]
A plane-wave DFT calculation with PBE was carried out for a relaxed structure of GdZn.

It has space group P2_1/m (No. 11), with a = 6.824 Å, b = 4.721 Å, c = 17.204 Å, α = 90.00°, β = 90.04° and γ = 90.00°. Symmetry generates all atoms from Gd at (0.019, 0.250, 0.382), Gd at (0.020, 0.750, 0.118), Gd at (0.327, 0.250, 0.039), Gd at (0.327, 0.750, 0.461), Gd at (0.469, 0.250, 0.834), Gd at (0.469, 0.750, 0.666), Zn at (0.165, 0.250, 0.709), Zn at (0.165, 0.750, 0.790), Zn at (0.224, 0.250, 0.209), Zn at (0.224, 0.750, 0.291), Zn at (0.225, 0.250, 0.560) and Zn at (0.225, 0.750, 0.940).

The calculation puts the total magnetization at 0.00 μB/atom. The formation energy comes out at -0.532 eV per formula unit. For the distance to the lowest polymorph of the same formula, the calculation gives 0.145 eV/f.u.

=====

[3]
A plane-wave DFT calculation with PBE was carried out for a relaxed structure of Li2PdAu.

It has space group P4/mmm (No. 123), with a = 4.028 Å, b = 4.028 Å, c = 3.508 Å, α = 90.00°, β = 90.00° and γ = 90.00°. Symmetry generates all atoms from Li at (0.000, 0.500, 0.000), Pd at (0.000, 0.000, 0.500) and Au at (0.500, 0.500, 0.500).

For the distance to the lowest polymorph of the same formula, the calculation gives 0.000 eV/f.u.

=====

[4]
A plane-wave DFT calculation with PBE was carried out for a relaxed structure of DyTm2FeCo8.

It has space group R-3m (No. 166, hexagonal axes), with a = 4.9880 Å, b = 4.9880 Å, c = 23.8758 Å, α = 90.00°, β = 90.00° and γ = 120.00°. Symmetry generates all atoms from Dy at (0.0000, 0.0000, 0.0000), Tm at (0.0000, 0.0000, 0.1399), Fe at (0.0000, 0.0000, 0.5000), Co at (0.0000, 0.0000, 0.3345) and Co at (0.0038, 0.5019, 0.9176).

The calculation puts the total magnetization at 0.98 μB/atom. The formation energy comes out at -2.503 eV per formula unit.

=====

[5]
A plane-wave DFT calculation with PBE was carried out for a relaxed structure of Pr2Y2CI2Br2Cl.

It has space group C2/m (No. 12), with a = 18.820 Å, b = 3.895 Å, c = 8.228 Å, α = 90.00°, β = 102.01° and γ = 90.00°. Symmetry generates all atoms from Pr at (0.138, 0.000, 0.074), Y at (0.001, 0.500, 0.797), C at (0.000, 0.000, 0.000), I at (0.169, 0.500, 0.793), Br at (0.152, 0.500, 0.351) and Cl at (0.000, 0.000, 0.500).

The calculation puts the total magnetization at 0.00 μB/atom. For the distance to the lowest polymorph of the same formula, the calculation gives 0.217 eV/f.u.

=====

[6]
A plane-wave DFT calculation with PBE was carried out for a relaxed structure of ZnNi7.

It has space group Pmmn (No. 59, origin choice 2), with a = 2.507 Å, b = 3.464 Å, c = 33.468 Å, α = 90.00°, β = 90.00° and γ = 90.00°. Symmetry generates all atoms from Zn at (0.250, 0.250, 0.220), Ni at (0.250, 0.250, 0.297), Ni at (0.250, 0.250, 0.371), Ni at (0.250, 0.250, 0.445), Ni at (0.250, 0.250, 0.518), Ni at (0.250, 0.250, 0.592), Ni at (0.250, 0.250, 0.667) and Ni at (0.250, 0.250, 0.742).

The calculation puts the total magnetization at 0.46 μB/atom. The formation energy comes out at 0.255 eV per formula unit.